LaNd2Sm3Y6 (GGA-PBE, optimized geometry); mass density = 5.9 g cm⁻³; E = -5.61 eV/atom; crystal system = monoclinic; ΔE_f = 0.012 eV per atom; total moment = 0.00 μB/cell
1.0
-3.724 -4.731 -1.800
5.227 1.291 -3.241
5.548 -6.211 8.497
La Nd Sm Y
1 2 3 6
direct
0.000 0.000 0.000
0.333 0.667 0.000
0.667 0.333 0.000
0.167 0.833 0.500
0.833 0.167 0.500
0.500 0.500 0.500
0.916 0.582 0.748
0.750 0.750 0.252
0.084 0.418 0.252
0.582 0.916 0.748
0.250 0.250 0.748
0.418 0.084 0.252